Record 1
{
  "formula": "BaSe2S",
  "functional": "GGA-PBE",
  "state": "relaxed",
  "cell": [[6.048, 0.000, 0.000], [0.000, 6.048, 0.000], [3.024, 3.024, 7.623]],
  "species": ["S", "S", "Ba", "Ba", "Se", "Se", "Se", "Se"],
  "frac_coords": [[0.500, 0.500, 0.000], [0.250, 0.750, 0.500], [0.000, 0.000, 0.000], [0.750, 0.250, 0.500], [0.509, 0.125, 0.250], [0.241, 0.625, 0.250], [0.375, 0.491, 0.750], [0.875, 0.759, 0.750]],
  "crystal_system": "tetragonal",
  "volume_a3_per_atom": 34.85,
  "space_group": "I-42d (122)",
  "formation_energy_uncorrected_mev_per_atom": -609
}

---

Record 2
{
  "formula": "Ba8Se6S",
  "functional": "GGA-PBE",
  "state": "relaxed",
  "cell": [[-3.647, 3.262, -0.750], [5.008, 3.300, -9.995], [-7.775, -8.684, 0.034]],
  "species": ["Ba", "Ba", "Ba", "Ba", "Ba", "Ba", "Ba", "Ba", "Se", "Se", "Se", "Se", "Se", "Se", "S"],
  "frac_coords": [[0.738, 0.968, 0.290], [0.738, 0.710, 0.678], [0.738, 0.322, 0.032], [0.262, 0.032, 0.710], [0.262, 0.290, 0.322], [0.262, 0.678, 0.968], [0.747, 0.333, 0.667], [0.253, 0.667, 0.333], [0.757, 0.654, 0.127], [0.757, 0.873, 0.527], [0.757, 0.473, 0.346], [0.243, 0.346, 0.873], [0.243, 0.127, 0.473], [0.243, 0.527, 0.654], [0.500, 0.000, 0.000]],
  "crystal_system": "trigonal",
  "volume_a3_per_atom": 38.83,
  "space_group": "P-3 (147)",
  "formation_energy_uncorrected_mev_per_atom": -1618
}